PBE-GGA K3CdRh, relaxed; size of the total moment = 0.00 Bohr magnetons per cell; space-group type = No. 221; mass density = 2.50 g cm⁻³; E_form = 232 kJ/mol of formula units; DOS(E_F) = 0.38 states/eV per atom
1.0
6.0457 0.0000 0.0000
0.0000 6.0457 0.0000
0.0000 0.0000 6.0457
K Cd Rh
3 1 1
Direct
0.0000 0.0000 0.5000 K
0.0000 0.5000 0.0000 K
0.5000 0.0000 0.0000 K
0.5000 0.5000 0.5000 Cd
0.0000 0.0000 0.0000 Rh